Record 1
## GaReRh3 (GGA-PBE)

Data for GaReRh3 after structural relaxation. Values from VASP.

The structure in Quantum ESPRESSO input format:
```
&SYSTEM
  ibrav = 0, nat = 5, ntyp = 3
/
ATOMIC_SPECIES
Ga 69.72 Ga.upf
Re 186.21 Re.upf
Rh 102.91 Rh.upf
ATOMIC_POSITIONS crystal
Ga 0.0000 0.0000 0.0000
Re 0.5000 0.5000 0.5000
Rh 0.0000 0.5000 0.5000
Rh 0.5000 0.0000 0.5000
Rh 0.5000 0.5000 0.0000
CELL_PARAMETERS angstrom
4.7169 0.0000 0.0000
0.0000 4.7169 0.0000
0.0000 0.0000 4.7169
```

Computed properties:
Theoretical density   8.934 g cm⁻³
Total energy   -6.41 eV per atom
Fermi-level density of states   4.2 states/eV per cell
Energy of formation from the pure elements   1.096 eV/atom
Relative energy among the computed polymorphs   0.000 eV per formula unit


Record 2
## GaReRh3 (GGA-PBE)

Data for GaReRh3 after structural relaxation. Values from VASP.

The structure in Quantum ESPRESSO input format:
```
&SYSTEM
  ibrav = 0, nat = 5, ntyp = 3
/
ATOMIC_SPECIES
Ga 69.72 Ga.upf
Re 186.21 Re.upf
Rh 102.91 Rh.upf
ATOMIC_POSITIONS crystal
Ga 0.0000 0.0000 0.0000
Re 0.5000 0.5000 0.5000
Rh 0.0000 0.0000 0.5000
Rh 0.0000 0.5000 0.0000
Rh 0.5000 0.0000 0.0000
CELL_PARAMETERS angstrom
4.4487 0.0000 0.0000
0.0000 4.4487 0.0000
0.0000 0.0000 4.4487
```

Computed properties:
Theoretical density   10.650 g cm⁻³
Total energy   -6.32 eV per atom
Fermi-level density of states   4.1 states/eV per cell
Energy of formation from the pure elements   1.184 eV/atom
Relative energy among the computed polymorphs   0.443 eV per formula unit


Record 3
## GaReRh2 (GGA-PBE)

Data for GaReRh2 after structural relaxation. Values from VASP.

The structure in Quantum ESPRESSO input format:
```
&SYSTEM
  ibrav = 0, nat = 16, ntyp = 3
/
ATOMIC_SPECIES
Ga 69.72 Ga.upf
Re 186.21 Re.upf
Rh 102.91 Rh.upf
ATOMIC_POSITIONS crystal
Ga 0.0000 0.0000 0.0000
Ga 0.0000 0.5000 0.2500
Ga 0.5000 0.0000 0.7500
Ga 0.5000 0.5000 0.5000
Re 0.0000 0.0000 0.5000
Re 0.0000 0.5000 0.7500
Re 0.5000 0.0000 0.2500
Re 0.5000 0.5000 0.0000
Rh 0.2456 0.2500 0.6250
Rh 0.2500 0.7456 0.8750
Rh 0.2500 0.7544 0.3750
Rh 0.2544 0.2500 0.1250
Rh 0.7456 0.7500 0.1250
Rh 0.7500 0.2456 0.3750
Rh 0.7500 0.2544 0.8750
Rh 0.7544 0.7500 0.6250
CELL_PARAMETERS angstrom
5.2189 0.0000 0.0000
0.0000 5.2189 0.0000
0.0000 0.0000 12.3622
```

Computed properties:
Theoretical density   9.109 g cm⁻³
Total energy   -6.81 eV per atom
Fermi-level density of states   14.7 states/eV per cell
Energy of formation from the pure elements   0.732 eV/atom


Record 4
## GaReRuRh2 (GGA-PBE)

Data for GaReRuRh2 after structural relaxation. Values from VASP.

The structure in Quantum ESPRESSO input format:
```
&SYSTEM
  ibrav = 0, nat = 5, ntyp = 4
/
ATOMIC_SPECIES
Ga 69.72 Ga.upf
Re 186.21 Re.upf
Ru 101.07 Ru.upf
Rh 102.91 Rh.upf
ATOMIC_POSITIONS crystal
Ga 0.0000 0.0000 0.0000
Re 0.5000 0.5000 0.5000
Ru 0.0000 0.0000 0.5000
Rh 0.0000 0.5000 0.0000
Rh 0.5000 0.0000 0.0000
CELL_PARAMETERS angstrom
4.4191 0.0000 0.0000
0.0000 4.4191 0.0000
0.0000 0.0000 4.4594
```

Computed properties:
Theoretical density   10.732 g cm⁻³
Total energy   -6.54 eV per atom
Fermi-level density of states   5.7 states/eV per cell
Energy of formation from the pure elements   1.348 eV/atom


Record 5
## ScGaRe2Rh (GGA-PBE)

Data for ScGaRe2Rh after structural relaxation. Values from VASP.

The structure in Quantum ESPRESSO input format:
```
&SYSTEM
  ibrav = 0, nat = 5, ntyp = 4
/
ATOMIC_SPECIES
Sc 44.96 Sc.upf
Ga 69.72 Ga.upf
Re 186.21 Re.upf
Rh 102.91 Rh.upf
ATOMIC_POSITIONS crystal
Sc 0.0000 0.0000 0.0000
Ga 0.5000 0.5000 0.0000
Re 0.0000 0.5000 0.5000
Re 0.5000 0.0000 0.5000
Rh 0.5000 0.5000 0.5000
CELL_PARAMETERS angstrom
4.7538 0.0000 0.0000
0.0000 4.7538 0.0000
0.0000 0.0000 4.5373
```

Computed properties:
Theoretical density   9.555 g cm⁻³
Total energy   -7.19 eV per atom
Fermi-level density of states   4.6 states/eV per cell
Energy of formation from the pure elements   1.127 eV/atom


Record 6
## GaRe2RhSe (GGA-PBE)

Data for GaRe2RhSe after structural relaxation. Values from VASP.

The structure in Quantum ESPRESSO input format:
```
&SYSTEM
  ibrav = 0, nat = 5, ntyp = 4
/
ATOMIC_SPECIES
Ga 69.72 Ga.upf
Re 186.21 Re.upf
Rh 102.91 Rh.upf
Se 78.96 Se.upf
ATOMIC_POSITIONS crystal
Ga 0.0000 0.0000 0.0000
Re 0.0000 0.5000 0.5000
Re 0.5000 0.0000 0.5000
Rh 0.5000 0.5000 0.0000
Se 0.5000 0.5000 0.5000
CELL_PARAMETERS angstrom
4.5804 0.0000 0.0000
0.0000 4.5804 0.0000
0.0000 0.0000 4.4806
```

Computed properties:
Formation energy (no corrections)   1.36 eV/atom
Theoretical density   11.023 g cm⁻³
Total energy   -6.40 eV per atom
Fermi-level density of states   5.7 states/eV per cell


Record 7
## GaReSiRh (GGA-PBE)

Data for GaReSiRh after structural relaxation. Values from VASP.

The structure in Quantum ESPRESSO input format:
```
&SYSTEM
  ibrav = 0, nat = 16, ntyp = 4
/
ATOMIC_SPECIES
Ga 69.72 Ga.upf
Re 186.21 Re.upf
Si 28.09 Si.upf
Rh 102.91 Rh.upf
ATOMIC_POSITIONS crystal
Ga 0.0000 0.0000 0.0000
Ga 0.0000 0.5000 0.5000
Ga 0.5000 0.0000 0.5000
Ga 0.5000 0.5000 0.0000
Re 0.2500 0.2500 0.7500
Re 0.2500 0.7500 0.2500
Re 0.7500 0.2500 0.2500
Re 0.7500 0.7500 0.7500
Si 0.0000 0.0000 0.5000
Si 0.0000 0.5000 0.0000
Si 0.5000 0.0000 0.0000
Si 0.5000 0.5000 0.5000
Rh 0.2500 0.2500 0.2500
Rh 0.2500 0.7500 0.7500
Rh 0.7500 0.2500 0.7500
Rh 0.7500 0.7500 0.2500
CELL_PARAMETERS angstrom
6.0274 0.0000 0.0000
0.0000 6.0274 0.0000
0.0000 0.0000 6.0274
```

Computed properties:
Formation energy (no corrections)   -0.29 eV/atom
Theoretical density   11.737 g cm⁻³
Total energy   -7.35 eV per atom
Fermi-level density of states   6.1 states/eV per cell


Record 8
## TaGa2ReRh (GGA-PBE)

Data for TaGa2ReRh after structural relaxation. Values from VASP.

The structure in Quantum ESPRESSO input format:
```
&SYSTEM
  ibrav = 0, nat = 5, ntyp = 4
/
ATOMIC_SPECIES
Ta 180.95 Ta.upf
Ga 69.72 Ga.upf
Re 186.21 Re.upf
Rh 102.91 Rh.upf
ATOMIC_POSITIONS crystal
Ta 0.0000 0.0000 0.0000
Ga 0.0000 0.5000 0.5000
Ga 0.5000 0.0000 0.5000
Re 0.5000 0.5000 0.0000
Rh 0.0000 0.0000 0.5000
CELL_PARAMETERS angstrom
4.5256 0.0000 0.0000
0.0000 4.5256 0.0000
0.0000 0.0000 4.9003
```

Computed properties:
Theoretical density   10.085 g cm⁻³
Total energy   -6.53 eV per atom
Fermi-level density of states   2.5 states/eV per cell
Energy of formation from the pure elements   1.009 eV/atom


Record 9
## GaRe2TcRh (GGA-PBE)

Data for GaRe2TcRh after structural relaxation. Values from VASP.

The structure in Quantum ESPRESSO input format:
```
&SYSTEM
  ibrav = 0, nat = 5, ntyp = 4
/
ATOMIC_SPECIES
Ga 69.72 Ga.upf
Re 186.21 Re.upf
Tc 98.00 Tc.upf
Rh 102.91 Rh.upf
ATOMIC_POSITIONS crystal
Ga 0.0000 0.0000 0.0000
Re 0.0000 0.5000 0.5000
Re 0.5000 0.0000 0.5000
Tc 0.0000 0.0000 0.5000
Rh 0.5000 0.5000 0.0000
CELL_PARAMETERS angstrom
4.6429 0.0000 0.0000
0.0000 4.6429 0.0000
0.0000 0.0000 4.6085
```

Computed properties:
Theoretical density   10.748 g cm⁻³
Total energy   -7.40 eV per atom
Fermi-level density of states   5.5 states/eV per cell
Energy of formation from the pure elements   1.725 eV/atom


Record 10
## GaReTeRh2 (GGA-PBE)

Data for GaReTeRh2 after structural relaxation. Values from VASP.

The structure in Quantum ESPRESSO input format:
```
&SYSTEM
  ibrav = 0, nat = 5, ntyp = 4
/
ATOMIC_SPECIES
Ga 69.72 Ga.upf
Re 186.21 Re.upf
Te 127.60 Te.upf
Rh 102.91 Rh.upf
ATOMIC_POSITIONS crystal
Ga 0.0000 0.0000 0.0000
Re 0.0000 0.0000 0.5000
Te 0.5000 0.5000 0.5000
Rh 0.0000 0.5000 0.0000
Rh 0.5000 0.0000 0.0000
CELL_PARAMETERS angstrom
4.5479 0.0000 0.0000
0.0000 4.5479 0.0000
0.0000 0.0000 4.6897
```

Computed properties:
Formation energy (no corrections)   1.05 eV/atom
Theoretical density   10.089 g cm⁻³
Total energy   -5.61 eV per atom
Fermi-level density of states   5.5 states/eV per cell


Record 11
## TiGaReRh (GGA-PBE)

Data for TiGaReRh after structural relaxation. Values from VASP.

The structure in Quantum ESPRESSO input format:
```
&SYSTEM
  ibrav = 0, nat = 16, ntyp = 4
/
ATOMIC_SPECIES
Ti 47.87 Ti.upf
Ga 69.72 Ga.upf
Re 186.21 Re.upf
Rh 102.91 Rh.upf
ATOMIC_POSITIONS crystal
Ti 0.0000 0.0000 0.0000
Ti 0.0000 0.5000 0.5000
Ti 0.5000 0.0000 0.5000
Ti 0.5000 0.5000 0.0000
Ga 0.0000 0.0000 0.5000
Ga 0.0000 0.5000 0.0000
Ga 0.5000 0.0000 0.0000
Ga 0.5000 0.5000 0.5000
Re 0.2500 0.2500 0.7500
Re 0.2500 0.7500 0.2500
Re 0.7500 0.2500 0.2500
Re 0.7500 0.7500 0.7500
Rh 0.2500 0.2500 0.2500
Rh 0.2500 0.7500 0.7500
Rh 0.7500 0.2500 0.7500
Rh 0.7500 0.7500 0.2500
CELL_PARAMETERS angstrom
6.1651 0.0000 0.0000
0.0000 6.1651 0.0000
0.0000 0.0000 6.1651
```

Computed properties:
Theoretical density   11.528 g cm⁻³
Total energy   -8.10 eV per atom
Fermi-level density of states   18.0 states/eV per cell
Energy of formation from the pure elements   -0.423 eV/atom


Record 12
## VGaRe2Rh (GGA-PBE)

Data for VGaRe2Rh after structural relaxation. Values from VASP.

The structure in Quantum ESPRESSO input format:
```
&SYSTEM
  ibrav = 0, nat = 5, ntyp = 4
/
ATOMIC_SPECIES
V 50.94 V.upf
Ga 69.72 Ga.upf
Re 186.21 Re.upf
Rh 102.91 Rh.upf
ATOMIC_POSITIONS crystal
V 0.0000 0.0000 0.0000
Ga 0.5000 0.5000 0.0000
Re 0.0000 0.5000 0.5000
Re 0.5000 0.0000 0.5000
Rh 0.5000 0.5000 0.5000
CELL_PARAMETERS angstrom
4.6977 0.0000 0.0000
0.0000 4.6977 0.0000
0.0000 0.0000 4.4530
```

Computed properties:
Theoretical density   10.071 g cm⁻³
Total energy   -7.09 eV per atom
Fermi-level density of states   7.1 states/eV per cell
Energy of formation from the pure elements   1.784 eV/atom


Record 13
## Ga2ReRhW (GGA-PBE)

Data for Ga2ReRhW after structural relaxation. Values from VASP.

The structure in Quantum ESPRESSO input format:
```
&SYSTEM
  ibrav = 0, nat = 5, ntyp = 4
/
ATOMIC_SPECIES
Ga 69.72 Ga.upf
Re 186.21 Re.upf
Rh 102.91 Rh.upf
W 183.84 W.upf
ATOMIC_POSITIONS crystal
Ga 0.0000 0.5000 0.0000
Ga 0.5000 0.0000 0.0000
Re 0.0000 0.0000 0.5000
Rh 0.5000 0.5000 0.5000
W 0.5000 0.5000 0.0000
CELL_PARAMETERS angstrom
4.7832 0.0000 0.0000
0.0000 4.7832 0.0000
0.0000 0.0000 4.7016
```

Computed properties:
Theoretical density   9.454 g cm⁻³
Total energy   -6.07 eV per atom
Fermi-level density of states   3.4 states/eV per cell
Energy of formation from the pure elements   1.691 eV/atom


Record 14
## GaRe3Ru (GGA-PBE)

Data for GaRe3Ru after structural relaxation. Values from VASP.

The structure in Quantum ESPRESSO input format:
```
&SYSTEM
  ibrav = 0, nat = 5, ntyp = 3
/
ATOMIC_SPECIES
Ga 69.72 Ga.upf
Re 186.21 Re.upf
Ru 101.07 Ru.upf
ATOMIC_POSITIONS crystal
Ga 0.0000 0.0000 0.0000
Re 0.0000 0.0000 0.5000
Re 0.0000 0.5000 0.0000
Re 0.5000 0.0000 0.0000
Ru 0.5000 0.5000 0.5000
CELL_PARAMETERS angstrom
4.4454 0.0000 0.0000
0.0000 4.4454 0.0000
0.0000 0.0000 4.4454
```

Computed properties:
Theoretical density   13.788 g cm⁻³
Total energy   -7.89 eV per atom
Fermi-level density of states   7.2 states/eV per cell
Energy of formation from the pure elements   2.035 eV/atom
Relative energy among the computed polymorphs   0.000 eV per formula unit